Entry from the Alexandria database: a relaxed OsC3F crystal (PBE-GGA).

Computed properties:
ΔE to the lowest computed polymorph	0.000	eV/atom
ΔE_f (raw)	1570	meV per atom
calculated density	6.57	g cm⁻³
space-group type	Pm-3m

The structure in extended XYZ format:
```
5
Lattice="3.9569 0.0000 0.0000 0.0000 3.9569 0.0000 0.0000 0.0000 3.9569" Properties=species:S:1:pos:R:3 pbc="T T T"
Os 0.0000 0.0000 0.0000
C 0.0000 0.0000 1.9784
C 0.0000 1.9784 0.0000
C 1.9784 0.0000 0.0000
F 1.9784 1.9784 1.9784
```

---

Entry from the Alexandria database: a relaxed BaCrBr2 crystal (PBE-GGA).

Computed properties:
ΔE to the lowest computed polymorph	0.049	eV/atom
ΔE_f (raw)	-749	meV per atom
calculated density	4.63	g cm⁻³
space-group type	Fm-3m

The structure in extended XYZ format:
```
4
Lattice="0.0000 3.9717 3.9717 3.9717 0.0000 3.9717 3.9717 3.9717 0.0000" Properties=species:S:1:pos:R:3 pbc="T T T"
Ba 0.0000 0.0000 0.0000
Cr 3.9717 3.9717 3.9717
Br 1.9858 1.9858 1.9858
Br 5.9575 5.9575 5.9575
```